# 1
DyH6Pt2Rh after structural relaxation. Source: Alexandria, functional PBE-GGA.

Cell: 4.8124 4.8131 5.1177 Å, 114.04 114.80 96.77°
With the nearest neighbours (Å) after each atom.
Space group P1 (No. 1)
Symmetry-distinct sites (fractional):
1 Dy 0.0000 0.0000 0.0000 [1 per cell]  10 H 2.39-2.66
2 H 0.0911 0.5581 0.6502 [1 per cell]  2 Pt 1.80
3 H 0.0995 0.0730 0.5781 [1 per cell]  2 Pt 1.83-1.90, 1 Rh 1.91
4 H 0.4543 0.7930 0.2474 [1 per cell]  2 Pt 1.85-1.86, 1 Rh 1.87
5 H 0.5060 0.4786 0.5789 [1 per cell]  2 Pt 1.83-1.89, 1 Rh 1.90
6 H 0.5473 0.1789 0.0744 [1 per cell]  1 Rh 1.74, 1 Pt 1.84
7 H 0.8951 0.5279 0.0770 [1 per cell]  1 Rh 1.73, 1 Pt 1.84
8 Pt 0.2747 0.7355 0.4867 [1 per cell]  5 H 1.80-1.90
9 Pt 0.7507 0.2123 0.4867 [1 per cell]  5 H 1.80-1.89
10 Rh 0.4802 0.4456 0.9263 [1 per cell]  5 H 1.73-1.91

Properties
total moment	0.0	μB/cell

# 2
Dy2ZnHPt6 after structural relaxation. Source: Alexandria, functional PBE-GGA.

Cell: 5.6043 5.6065 7.0034 Å, 66.52 66.55 60.07°
With the nearest neighbours (Å) after each atom.
Space group P-1 (No. 2)
Symmetry-distinct sites (fractional):
1 Dy 0.2147 0.2156 0.3566 [2 per cell]  9 Pt 2.98-3.26
2 Zn 0.5000 0.5000 0.5000 [1 per cell]  6 Pt 2.50-2.51
3 H 0.0000 0.0000 0.0000 [1 per cell]  6 Pt 2.01-2.02
4 Pt 0.2308 0.7270 0.8097 [2 per cell]  1 H 2.02
5 Pt 0.2315 0.2301 0.8076 [2 per cell]  1 H 2.01
6 Pt 0.2710 0.7704 0.1913 [2 per cell]  1 H 2.01

Properties
total moment	0.0	μB/cell

# 3
DyPu2H after structural relaxation. Source: Alexandria, functional PBE-GGA.

Cell: 3.6870 3.6870 19.0291 Å, 90.00 90.00 120.00°
With the nearest neighbours (Å) after each atom.
Space group R-3m (No. 166, hexagonal axes)
Symmetry-distinct sites (fractional):
1 Dy 0.0000 0.0000 0.0000 [3 per cell]  8 Pu 3.38-3.72, 6 Dy 3.69
2 Pu 0.0000 0.0000 0.1955 [6 per cell]  3 H 2.20, 3 Pu 2.39
3 H 0.0000 0.0000 0.5000 [3 per cell]  6 Pu 2.20

Properties
distance to the lowest polymorph of the same formula	15	meV/atom
total moment	0.7	μB/cell

# 4
DyPuH4 after structural relaxation. Source: Alexandria, functional PBE-GGA.

Cell: 3.6900 3.6900 5.2705 Å, 90.00 90.00 90.00°
With the nearest neighbours (Å) after each atom.
Space group P4/mmm (No. 123)
Symmetry-distinct sites (fractional):
1 Dy 0.0000 0.0000 0.0000 [1 per cell]  8 H 2.24
2 Pu 0.5000 0.5000 0.5000 [1 per cell]  8 H 2.29
3 H 0.0000 0.5000 0.2427 [4 per cell]  2 Dy 2.24, 2 Pu 2.29

Properties
total moment	5.4	μB/cell

no.,DFT total energy (eV/cell)
1,-47.276
2,-57.786
3,-107.563
4,-35.540